Entry 1:
Below is a relaxed Pm2NdTl crystal, with properties calculated at the PBE level.

Summary:
The calculation puts the excess energy over the best structure of this formula in the dataset at 155 meV/atom. The formation enthalpy at 0 K is -0.0472 eV per atom.

Cell lengths 7.924, 7.924, 7.924 Å; angles 90.00, 90.00, 90.00 degrees
Space group Fm-3m (No. 225)
One atom of each set of equivalent atoms:
Pm  0.250  0.250  0.250 [8 per cell]
Nd  0.000  0.000  0.000 [4 per cell]
Tl  0.000  0.000  0.500 [4 per cell]

Entry 2:
Below is a relaxed PmNd2Tl crystal, with properties calculated at the PBE level.

Summary:
The calculation puts the excess energy over the best structure of this formula in the dataset at 0 meV/atom. The formation enthalpy at 0 K is -0.2034 eV per atom.

Cell lengths 4.978, 4.978, 5.001 Å; angles 90.00, 90.00, 90.00 degrees
Space group P4/mmm (No. 123)
One atom of each set of equivalent atoms:
Pm  0.000  0.000  0.000 [1 per cell]
Nd  0.000  0.500  0.500 [2 per cell]
Tl  0.500  0.500  0.000 [1 per cell]

Entry 3:
Below is a relaxed Pm4Nd3Tl2 crystal, with properties calculated at the PBE level.

Summary:
The formation enthalpy at 0 K is -0.0897 eV per atom.

Cell lengths 13.259, 13.809, 6.604 Å; angles 90.00, 95.73, 90.00 degrees
Space group C2/c (No. 15)
One atom of each set of equivalent atoms:
Pm  0.106  0.213  0.081 [8 per cell]
Pm  0.152  0.327  0.584 [8 per cell]
Nd  0.000  0.469  0.250 [4 per cell]
Nd  0.113  0.064  0.596 [8 per cell]
Tl  0.205  0.427  0.042 [8 per cell]

Entry 4:
Below is a relaxed Pm2NdTl3 crystal, with properties calculated at the PBE level.

Summary:
The calculation puts the excess energy over the best structure of this formula in the dataset at 0 meV/atom. The formation enthalpy at 0 K is -0.3907 eV per atom.

Cell lengths 3.872, 3.872, 11.786 Å; angles 90.00, 90.00, 90.00 degrees
Space group P4/mmm (No. 123)
One atom of each set of equivalent atoms:
Pm  0.000  0.000  0.166 [2 per cell]
Nd  0.000  0.000  0.500 [1 per cell]
Tl  0.500  0.500  0.000 [1 per cell]
Tl  0.500  0.500  0.331 [2 per cell]

Entry 5:
Below is a relaxed Pm2Nd5Tl4 crystal, with properties calculated at the PBE level.

Summary:
The calculation puts the excess energy over the best structure of this formula in the dataset at 0 meV/atom. The formation enthalpy at 0 K is -0.2451 eV per atom.

Cell lengths 18.416, 5.468, 6.876 Å; angles 90.00, 90.60, 90.00 degrees
Space group C2/m (No. 12)
One atom of each set of equivalent atoms:
Pm  0.093  0.000  0.008 [4 per cell]
Nd  0.000  0.000  0.500 [2 per cell]
Nd  0.138  0.500  0.674 [4 per cell]
Nd  0.223  0.500  0.156 [4 per cell]
Tl  0.035  0.500  0.217 [4 per cell]
Tl  0.183  0.000  0.426 [4 per cell]

Entry 6:
Below is a relaxed PmNd2Tl crystal, with properties calculated at the PBE level.

Summary:
The calculation puts the excess energy over the best structure of this formula in the dataset at 39 meV/atom. The formation enthalpy at 0 K is -0.1646 eV per atom.

Cell lengths 3.700, 3.700, 9.502 Å; angles 90.00, 90.00, 90.00 degrees
Space group P4/mmm (No. 123)
One atom of each set of equivalent atoms:
Pm  0.000  0.000  0.000 [1 per cell]
Nd  0.500  0.500  0.273 [2 per cell]
Tl  0.000  0.000  0.500 [1 per cell]

Entry 7:
Below is a relaxed Pm2Nd3Tl2 crystal, with properties calculated at the PBE level.

Summary:
The calculation puts the excess energy over the best structure of this formula in the dataset at 0 meV/atom. The formation enthalpy at 0 K is -0.2067 eV per atom.

Cell lengths 9.653, 5.576, 8.885 Å; angles 90.00, 111.31, 90.00 degrees
Space group C2/m (No. 12)
One atom of each set of equivalent atoms:
Pm  0.077  0.000  0.231 [4 per cell]
Nd  0.000  0.500  0.500 [2 per cell]
Nd  0.155  0.500  0.964 [4 per cell]
Tl  0.216  0.000  0.649 [4 per cell]

Entry 8:
Below is a relaxed Pm4Nd6Tl crystal, with properties calculated at the PBE level.

Summary:
The formation enthalpy at 0 K is 0.0991 eV per atom.

Cell lengths 11.0860, 11.0860, 3.5859 Å; angles 90.00, 90.00, 120.00 degrees
Space group P-6m2 (No. 187)
One atom of each set of equivalent atoms:
Pm  0.0000  0.0000  0.0000 [1 per cell]
Pm  0.5183  0.0367  0.5000 [3 per cell]
Nd  0.1996  0.3992  0.0000 [3 per cell]
Nd  0.2953  0.1476  0.5000 [3 per cell]
Tl  0.6667  0.3333  0.0000 [1 per cell]

Entry 9:
Below is a relaxed Pm12Nd6Tl crystal, with properties calculated at the PBE level.

Summary:
The formation enthalpy at 0 K is 0.0714 eV per atom.

Cell lengths 12.1673, 12.1673, 15.3437 Å; angles 90.00, 90.00, 120.00 degrees
Space group R-3 (No. 148, hexagonal axes)
One atom of each set of equivalent atoms:
Pm  0.0034  0.8291  0.3140 [18 per cell]
Pm  0.0465  0.1974  0.9164 [18 per cell]
Nd  0.0166  0.5906  0.1858 [18 per cell]
Tl  0.0000  0.0000  0.5000 [3 per cell]

Entry 10:
Below is a relaxed Pm8Nd6Tl crystal, with properties calculated at the PBE level.

Summary:
The formation enthalpy at 0 K is 0.0660 eV per atom.

Cell lengths 9.5222, 9.5222, 6.6176 Å; angles 90.00, 90.00, 120.00 degrees
Space group P-3 (No. 147)
One atom of each set of equivalent atoms:
Pm  0.0401  0.7733  0.1820 [6 per cell]
Pm  0.3333  0.6667  0.1413 [2 per cell]
Nd  0.0922  0.6447  0.6722 [6 per cell]
Tl  0.0000  0.0000  0.5000 [1 per cell]

Entry 11:
Below is a relaxed PmNd6Tl2 crystal, with properties calculated at the PBE level.

Summary:
The calculation puts the excess energy over the best structure of this formula in the dataset at 446 meV/atom. The formation enthalpy at 0 K is 0.2955 eV per atom.

Cell lengths 7.3062, 7.3062, 20.1075 Å; angles 90.00, 90.00, 120.00 degrees
Space group R3m (No. 160, hexagonal axes)
One atom of each set of equivalent atoms:
Pm  0.0000  0.0000  0.0000 [3 per cell]
Nd  0.1705  0.3410  0.8950 [9 per cell]
Nd  0.1831  0.3662  0.0915 [9 per cell]
Tl  0.0000  0.0000  0.5649 [3 per cell]
Tl  0.0000  0.0000  0.7629 [3 per cell]

Entry 12:
Below is a relaxed Pm5Nd4Tl crystal, with properties calculated at the PBE level.

Summary:
The calculation puts the excess energy over the best structure of this formula in the dataset at 86 meV/atom. The formation enthalpy at 0 K is 0.1035 eV per atom.

Cell lengths 10.807, 10.807, 6.052 Å; angles 90.00, 90.00, 90.00 degrees
Space group I4mm (No. 107)
One atom of each set of equivalent atoms:
Pm  0.000  0.000  0.000 [2 per cell]
Pm  0.186  0.186  0.290 [8 per cell]
Nd  0.000  0.313  0.802 [8 per cell]
Tl  0.000  0.000  0.521 [2 per cell]

DOS(E_F) / states/eV per cell: 23.79; 6.95; 48.21; 5.61; 26.87; 4.42; 11.44; 11.75; 84.05; 18.71; 30.52; 29.06